Below is GaBiPb6 after structural relaxation, with properties calculated at the PBE level.

## Properties
formation enthalpy at 0 K	0.089	eV/atom
total magnetization	0.00	Bohr magnetons per cell
DFT total energy	-28.442	eV/cell
DOS(E_F)	4.00	states/eV/f.u.

```
data_GaBiPb6
_chemical_formula_sum 'Ga1 Bi1 Pb6'
_cell_length_a 6.971
_cell_length_b 6.971
_cell_length_c 8.341
_cell_angle_alpha 107.21
_cell_angle_beta 107.21
_cell_angle_gamma 125.37
_space_group_name_H-M_alt 'P 1'
_space_group_IT_number 1
loop_
_space_group_symop_operation_xyz
'x,y,z'
loop_
_atom_site_label
_atom_site_fract_x
_atom_site_fract_y
_atom_site_fract_z
Pb1 0.637 0.204 0.262
Pb2 0.796 0.363 0.738
Pb3 0.262 0.262 0.747
Pb4 0.738 0.738 0.253
Pb5 0.363 0.796 0.738
Pb6 0.204 0.637 0.262
Bi1 0.000 0.000 0.000
Ga1 0.500 0.500 0.500
```



Below is PmDyBi2 after structural relaxation, with properties calculated at the PBE level.

## Properties
formation enthalpy at 0 K	-0.692	eV/atom
energy above the most stable polymorph in this dataset	206.4	meV per atom
total magnetization	0.00	Bohr magnetons per cell
DFT total energy	-19.882	eV/cell
DOS(E_F)	1.54	states/eV/f.u.

```
data_PmDyBi2
_chemical_formula_sum 'Pm1 Dy1 Bi2'
_cell_length_a 3.433
_cell_length_b 5.898
_cell_length_c 5.898
_cell_angle_alpha 90.00
_cell_angle_beta 90.00
_cell_angle_gamma 90.00
_space_group_name_H-M_alt 'P 1'
_space_group_IT_number 1
loop_
_space_group_symop_operation_xyz
'x,y,z'
loop_
_atom_site_label
_atom_site_fract_x
_atom_site_fract_y
_atom_site_fract_z
Pm1 0.500 0.000 0.000
Dy1 0.500 0.500 0.500
Bi1 0.000 0.000 0.500
Bi2 0.000 0.500 0.000
```



Below is PmMgGe2Au4 after structural relaxation, with properties calculated at the PBE level.

## Properties
formation enthalpy at 0 K	-0.431	eV/atom
total magnetization	0.00	Bohr magnetons per cell
DFT total energy	-32.136	eV/cell
DOS(E_F)	1.72	states/eV/f.u.

```
data_PmMgGe2Au4
_chemical_formula_sum 'Pm1 Mg1 Ge2 Au4'
_cell_length_a 4.661
_cell_length_b 4.661
_cell_length_c 8.872
_cell_angle_alpha 74.77
_cell_angle_beta 74.77
_cell_angle_gamma 60.00
_space_group_name_H-M_alt 'P 1'
_space_group_IT_number 1
loop_
_space_group_symop_operation_xyz
'x,y,z'
loop_
_atom_site_label
_atom_site_fract_x
_atom_site_fract_y
_atom_site_fract_z
Mg1 0.500 0.500 0.500
Au1 0.138 0.138 0.586
Pm1 0.000 0.000 0.000
Au2 0.393 0.393 0.822
Au3 0.862 0.862 0.414
Ge1 0.251 0.251 0.246
Ge2 0.749 0.749 0.754
Au4 0.607 0.607 0.178
```



Question: What is the formation enthalpy at 0 K in the first record?
Answer: 0.089 eV/atom



Repeat the third record exactly.
Below is PmMgGe2Au4 after structural relaxation, with properties calculated at the PBE level.

## Properties
formation enthalpy at 0 K	-0.431	eV/atom
total magnetization	0.00	Bohr magnetons per cell
DFT total energy	-32.136	eV/cell
DOS(E_F)	1.72	states/eV/f.u.

```
data_PmMgGe2Au4
_chemical_formula_sum 'Pm1 Mg1 Ge2 Au4'
_cell_length_a 4.661
_cell_length_b 4.661
_cell_length_c 8.872
_cell_angle_alpha 74.77
_cell_angle_beta 74.77
_cell_angle_gamma 60.00
_space_group_name_H-M_alt 'P 1'
_space_group_IT_number 1
loop_
_space_group_symop_operation_xyz
'x,y,z'
loop_
_atom_site_label
_atom_site_fract_x
_atom_site_fract_y
_atom_site_fract_z
Mg1 0.500 0.500 0.500
Au1 0.138 0.138 0.586
Pm1 0.000 0.000 0.000
Au2 0.393 0.393 0.822
Au3 0.862 0.862 0.414
Ge1 0.251 0.251 0.246
Ge2 0.749 0.749 0.754
Au4 0.607 0.607 0.178
```